This record from Alexandria via LeMat-Bulk describes a relaxed LiIn2AgRu crystal. The functional is PBE.

Cell: 5.078 5.078 5.268 Å, 90.00 90.00 90.00°
Space group P4/mmm (No. 123)
Symmetry-distinct sites (fractional):
Li1 0.000 0.000 0.000 x1
In1 0.000 0.500 0.500 x2
Ag1 0.500 0.500 0.000 x1
Ru1 0.500 0.500 0.500 x1

Values from the calculation:
The value obtained for the final energy is -3.5832 eV/atom. The formation energy comes out at 0.320 eV per atom.